[1]
Hf7Bi2Pb2 | PBE | relaxed

a = 6.2425 Å, b = 9.8007 Å, c = 8.8053 Å
α = 90.00°, β = 95.56°, γ = 90.00°
Space group C2/m (No. 12)
One atom of each set of equivalent atoms:
Hf 0.0000 0.0000 0.0000 (multiplicity 2)
Hf 0.1313 0.2778 0.8504 (multiplicity 8)
Hf 0.1720 0.0000 0.3593 (multiplicity 4)
Bi 0.1962 0.5000 0.2556 (multiplicity 4)
Pb 0.0000 0.2651 0.5000 (multiplicity 4)

Values from the calculation:
For the calculated volume, the calculation gives 536.2 Å³/cell. The energy relative to the elements is 61 meV per atom. The calculated total energy comes out at -168.37 eV per cell.



[2]
Li2La3Hg9 | PBE | relaxed

a = 4.8191 Å, b = 10.6255 Å, c = 13.5852 Å
α = 90.00°, β = 90.00°, γ = 90.00°
Space group Immm (No. 71)
One atom of each set of equivalent atoms:
Li 0.0000 0.1765 0.0000 (multiplicity 4)
La 0.0000 0.0000 0.2091 (multiplicity 4)
La 0.0000 0.0000 0.5000 (multiplicity 2)
Hg 0.0000 0.2862 0.3627 (multiplicity 8)
Hg 0.0000 0.3635 0.1430 (multiplicity 8)
Hg 0.0000 0.5000 0.5000 (multiplicity 2)

Values from the calculation:
For the calculated volume, the calculation gives 695.6 Å³/cell. The energy relative to the elements is -379 meV per atom. The calculated total energy comes out at -53.26 eV per cell.



[3]
FeNi2Ir | PBE | relaxed

a = 2.7295 Å, b = 4.3631 Å, c = 8.4437 Å
α = 90.00°, β = 90.00°, γ = 90.00°
Space group Cmmm (No. 65)
One atom of each set of equivalent atoms:
Fe 0.0000 0.0000 0.0000 (multiplicity 2)
Ni 0.0000 0.5000 0.2374 (multiplicity 4)
Ir 0.0000 0.0000 0.5000 (multiplicity 2)

Values from the calculation:
For the calculated volume, the calculation gives 100.6 Å³/cell. The energy relative to the elements is 170 meV per atom. The calculated total energy comes out at -56.41 eV per cell.



[4]
Sm5Er4Th2 | PBE | relaxed

a = 8.8132 Å, b = 3.5060 Å, c = 11.7865 Å
α = 90.00°, β = 94.28°, γ = 90.00°
Space group P2/m (No. 10)
One atom of each set of equivalent atoms:
Sm 0.0000 0.0000 0.0000 (multiplicity 1)
Sm 0.0721 0.0000 0.2907 (multiplicity 2)
Sm 0.3078 0.0000 0.8388 (multiplicity 2)
Er 0.1971 0.5000 0.5458 (multiplicity 2)
Er 0.3386 0.5000 0.1089 (multiplicity 2)
Th 0.4623 0.0000 0.3661 (multiplicity 2)

Values from the calculation:
For the calculated volume, the calculation gives 363.2 Å³/cell. The energy relative to the elements is 128 meV per atom. The calculated total energy comes out at -55.28 eV per cell.